[1]
A PBEsol-optimized structure of Ca2Nd2MnNiO8, computed with SCAN.

Calculated values
ΔE_f (raw) = -2.9261 eV/atom

abc: 7.5580 7.5644 11.7311
angles: 90.00 90.00 90.00
Closest atoms and distances in Å follow each position.
Space group Cmme (No. 67)
Unique sites:
1 Ca 0.0000 0.0129 0.1356 [8 per cell]  6 O 2.28-2.47
2 Nd 0.2394 0.2500 0.6432 [8 per cell]  6 O 2.27-2.53
3 Mn 0.2500 0.2500 0.0000 [4 per cell]  6 O 1.89-1.95
4 Ni 0.0000 0.0000 0.5000 [4 per cell]  6 O 1.89-2.04
5 O 0.0000 0.0318 0.6723 [8 per cell]  1 Ni 2.04, 1 Ca 2.28
6 O 0.0000 0.2500 0.4822 [4 per cell]  2 Ni 1.90
7 O 0.0000 0.2500 0.9808 [4 per cell]  2 Mn 1.90
8 O 0.2183 0.2500 0.1653 [8 per cell]  1 Mn 1.95
9 O 0.2500 0.0000 0.0000 [4 per cell]  2 Mn 1.89
10 O 0.2500 0.0000 0.5000 [4 per cell]  2 Ni 1.89



[2]
A PBEsol-optimized structure of CaNd2Mn3O9, computed with SCAN.

Calculated values
ΔE_f (raw) = -2.9550 eV/atom

abc: 16.2558 7.5999 5.3644
angles: 90.00 90.00 90.00
Closest atoms and distances in Å follow each position.
Space group Pnma (No. 62)
Unique sites:
1 Ca 0.1521 0.2500 0.0084 [4 per cell]  6 O 2.35-2.58
2 Nd 0.0117 0.7500 0.5065 [4 per cell]  8 O 2.36-2.64
3 Nd 0.1814 0.7500 0.9875 [4 per cell]  6 O 2.36-2.54
4 Mn 0.0000 0.0000 0.0000 [4 per cell]  6 O 1.94-1.96
5 Mn 0.1671 0.0010 0.4975 [8 per cell]  6 O 1.94-1.95
6 O 0.0041 0.2500 0.9311 [4 per cell]  2 Mn 1.94
7 O 0.0707 0.0340 0.2864 [8 per cell]  2 Mn 1.94-1.95
8 O 0.0940 0.5424 0.7791 [8 per cell]  2 Mn 1.95-1.96
9 O 0.1605 0.7500 0.4238 [4 per cell]  2 Mn 1.95
10 O 0.1705 0.2500 0.5744 [4 per cell]  2 Mn 1.94
11 O 0.2378 0.0411 0.2112 [8 per cell]  2 Mn 1.94-1.95



[3]
A PBEsol-optimized structure of Ca3NdMn4O12, computed with SCAN.

Calculated values
ΔE_f (raw) = -2.8057 eV/atom

abc: 5.2859 7.4748 5.3231
angles: 90.00 90.01 90.00
Closest atoms and distances in Å follow each position.
Space group Pm (No. 6)
Unique sites:
1 Ca 0.0000 0.0000 0.0000 [1 per cell]  6 O 2.32-2.54
2 Ca 0.0171 0.5000 0.0779 [1 per cell]  6 O 2.31-2.57
3 Ca 0.5007 0.5000 0.5805 [1 per cell]  8 O 2.32-2.60
4 Nd 0.5152 0.0000 0.5025 [1 per cell]  8 O 2.36-2.58
5 Mn 0.0089 0.2540 0.5398 [2 per cell]  6 O 1.88-1.93
6 Mn 0.5079 0.2536 0.0386 [2 per cell]  6 O 1.88-1.93
7 O 0.0728 0.0000 0.5547 [1 per cell]  2 Mn 1.93
8 O 0.2219 0.2886 0.8258 [2 per cell]  2 Mn 1.91
9 O 0.2989 0.2838 0.3299 [2 per cell]  2 Mn 1.91-1.92
10 O 0.4370 0.0000 0.0445 [1 per cell]  2 Mn 1.93
11 O 0.5828 0.5000 0.0287 [1 per cell]  2 Mn 1.88
12 O 0.7228 0.2163 0.7548 [2 per cell]  2 Mn 1.91-1.92
13 O 0.7911 0.2077 0.2569 [2 per cell]  2 Mn 1.93
14 O 0.9352 0.5000 0.5186 [1 per cell]  2 Mn 1.88



[4]
A PBEsol-optimized structure of CaNdMn2O6, computed with SCAN.

Calculated values
ΔE_f (raw) = -2.8958 eV/atom

abc: 5.3365 5.3736 22.6700
angles: 89.97 90.00 89.99
Closest atoms and distances in Å follow each position.
Space group P1 (No. 1)
Unique sites:
1 Ca 0.0000 0.0000 0.0000 [1 per cell]  6 O 2.34-2.61
2 Ca 0.9997 0.0002 0.3340 [1 per cell]  5 O 2.33-2.55
3 Ca 0.4810 0.5001 0.9998 [1 per cell]  6 O 2.34-2.61
4 Ca 0.4821 0.4991 0.3332 [1 per cell]  7 O 2.34-2.61
5 Ca 0.4817 0.5005 0.6628 [1 per cell]  7 O 2.34-2.62
6 Ca 0.9823 0.0800 0.4954 [1 per cell]  7 O 2.34-2.60
7 Nd 0.4970 0.5758 0.1663 [1 per cell]  8 O 2.36-2.62
8 Nd 0.4979 0.5759 0.8326 [1 per cell]  7 O 2.36-2.61
9 Nd 0.4981 0.5784 0.4968 [1 per cell]  7 O 2.36-2.59
10 Nd 0.9834 0.0762 0.8333 [1 per cell]  8 O 2.37-2.64
11 Nd 0.9841 0.0759 0.1664 [1 per cell]  8 O 2.36-2.63
12 Nd 0.9986 0.0013 0.6624 [1 per cell]  7 O 2.36-2.62
13 Mn 0.4894 0.0385 0.9182 [1 per cell]  6 O 1.89-1.99
14 Mn 0.4903 0.0393 0.0807 [1 per cell]  6 O 1.89-1.97
15 Mn 0.4897 0.0387 0.2518 [1 per cell]  6 O 1.87-1.97
16 Mn 0.4900 0.0394 0.7469 [1 per cell]  6 O 1.91-1.96
17 Mn 0.4899 0.0409 0.4138 [1 per cell]  6 O 1.90-1.94
18 Mn 0.4911 0.0421 0.5801 [1 per cell]  6 O 1.91-1.95
19 Mn 0.9903 0.5381 0.5803 [1 per cell]  6 O 1.91-1.95
20 Mn 0.9907 0.5380 0.7468 [1 per cell]  6 O 1.91-1.96
21 Mn 0.9910 0.5392 0.0807 [1 per cell]  6 O 1.89-1.97
22 Mn 0.9913 0.5391 0.2518 [1 per cell]  6 O 1.87-1.97
23 Mn 0.9912 0.5392 0.4137 [1 per cell]  6 O 1.90-1.95
24 Mn 0.9912 0.5390 0.9182 [1 per cell]  6 O 1.89-1.99
25 O 0.0565 0.5308 0.1661 [1 per cell]  2 Mn 1.97
26 O 0.0577 0.5319 0.8319 [1 per cell]  2 Mn 1.96-1.99
27 O 0.0589 0.5253 0.4978 [1 per cell]  2 Mn 1.91-1.94
28 O 0.2009 0.2488 0.9267 [1 per cell]  2 Mn 1.92-1.93
29 O 0.2020 0.2496 0.2604 [1 per cell]  2 Mn 1.92-1.93
30 O 0.2024 0.2506 0.7371 [1 per cell]  2 Mn 1.92-1.93
31 O 0.2031 0.2513 0.0713 [1 per cell]  2 Mn 1.92-1.93
32 O 0.2055 0.2547 0.4024 [1 per cell]  2 Mn 1.92-1.93
33 O 0.2079 0.2575 0.5936 [1 per cell]  2 Mn 1.93
34 O 0.2737 0.7545 0.7351 [1 per cell]  2 Mn 1.93-1.94
35 O 0.2742 0.7566 0.5942 [1 per cell]  2 Mn 1.94-1.95
36 O 0.2781 0.7512 0.0714 [1 per cell]  2 Mn 1.92-1.93
37 O 0.2793 0.7490 0.9268 [1 per cell]  2 Mn 1.92-1.93
38 O 0.2788 0.7499 0.2601 [1 per cell]  2 Mn 1.92-1.93
39 O 0.2798 0.7508 0.4035 [1 per cell]  2 Mn 1.93
40 O 0.4175 0.0297 0.4978 [1 per cell]  2 Mn 1.91-1.94
41 O 0.4241 0.0290 0.8319 [1 per cell]  2 Mn 1.96-1.99
42 O 0.4246 0.0315 0.1661 [1 per cell]  2 Mn 1.97
43 O 0.5597 0.0548 0.6643 [1 per cell]  2 Mn 1.91-1.95
44 O 0.5655 0.0576 0.9994 [1 per cell]  2 Mn 1.89
45 O 0.5666 0.0556 0.3321 [1 per cell]  2 Mn 1.87-1.90
46 O 0.7056 0.3244 0.4270 [1 per cell]  2 Mn 1.93-1.94
47 O 0.7062 0.3248 0.5693 [1 per cell]  2 Mn 1.92
48 O 0.7098 0.3192 0.9017 [1 per cell]  2 Mn 1.95
49 O 0.7112 0.3179 0.2356 [1 per cell]  2 Mn 1.94-1.95
50 O 0.7115 0.3179 0.7622 [1 per cell]  2 Mn 1.93-1.94
51 O 0.7109 0.3188 0.0962 [1 per cell]  2 Mn 1.94
52 O 0.7694 0.8176 0.2353 [1 per cell]  2 Mn 1.94
53 O 0.7699 0.8183 0.9018 [1 per cell]  2 Mn 1.94-1.95
54 O 0.7705 0.8190 0.0962 [1 per cell]  2 Mn 1.94
55 O 0.7717 0.8211 0.4289 [1 per cell]  2 Mn 1.94-1.95
56 O 0.7730 0.8214 0.7610 [1 per cell]  2 Mn 1.94
57 O 0.7761 0.8260 0.5682 [1 per cell]  2 Mn 1.93-1.94
58 O 0.9155 0.5574 0.9994 [1 per cell]  2 Mn 1.89
59 O 0.9155 0.5594 0.3321 [1 per cell]  2 Mn 1.87-1.90
60 O 0.9172 0.5510 0.6643 [1 per cell]  2 Mn 1.91-1.95



[5]
A PBEsol-optimized structure of CaMn2Ni, computed with SCAN.

Calculated values
DFT formation energy = 699 meV per atom

abc: 2.5816 3.8347 5.9984
angles: 90.00 90.10 90.00
Closest atoms and distances in Å follow each position.
Space group P2/m (No. 10)
Unique sites:
1 Ca 0.0000 0.0000 0.0000 [1 per cell]  2 Ca 2.58
2 Mn 0.4992 0.5000 0.3415 [2 per cell]  1 Mn 1.90
3 Ni 0.0000 0.0000 0.5000 [1 per cell]  8 Mn 2.50, 2 Ni 2.58



[6]
A PBEsol-optimized structure of CaMn2Ni, computed with SCAN.

Calculated values
DFT formation energy = -19 meV per atom

abc: 3.9347 3.9347 15.7881
angles: 90.00 90.00 120.00
Closest atoms and distances in Å follow each position.
Space group R3m (No. 160, hexagonal axes)
Unique sites:
1 Ca 0.0000 0.0000 0.0000 [3 per cell]  7 Mn 3.00-3.29, 4 Ni 3.03-3.25
2 Mn 0.0000 0.0000 0.1900 [3 per cell]  3 Mn 2.27, 3 Ni 2.48
3 Mn 0.0000 0.0000 0.5158 [3 per cell]  3 Mn 2.27, 3 Ni 2.43
4 Ni 0.0000 0.0000 0.7940 [3 per cell]  6 Mn 2.43-2.48